1.
The following is a PBEsol calculation of a relaxed structure of TlCrCu, from Alexandria.

E_form   907 meV/atom

Cell: 6.1616 6.1616 6.1616 Å, 90.00 90.00 90.00°
Space group F-43m (No. 216)
Symmetry-distinct sites (fractional):
Tl 0.0000 0.0000 0.0000 [4 per cell]
Cr 0.2500 0.2500 0.2500 [4 per cell]
Cu 0.2500 0.2500 0.7500 [4 per cell]

---

2.
The following is a PBEsol calculation of a relaxed structure of HfBe3Zn, from Alexandria.

E_form   440 meV/atom

Cell: 4.0055 4.0055 4.0055 Å, 90.00 90.00 90.00°
Space group Pm-3m (No. 221)
Symmetry-distinct sites (fractional):
Hf 0.0000 0.0000 0.0000 [1 per cell]
Be 0.0000 0.5000 0.5000 [3 per cell]
Zn 0.5000 0.5000 0.5000 [1 per cell]

---

3.
The following is a PBEsol calculation of a relaxed structure of Ca2CdCu, from Alexandria.

E_form   3 meV/atom

Cell: 3.9847 3.9847 24.0681 Å, 90.00 90.00 120.00°
Space group R-3m (No. 166, hexagonal axes)
Symmetry-distinct sites (fractional):
Ca 0.0000 0.0000 0.2374 [6 per cell]
Cd 0.0000 0.0000 0.0000 [3 per cell]
Cu 0.0000 0.0000 0.5000 [3 per cell]

---

4.
The following is a PBEsol calculation of a relaxed structure of MgCu2Cl, from Alexandria.

ΔE_f (raw)   0.471 eV per atom

Cell: 6.3821 6.3821 6.3821 Å, 90.00 90.00 90.00°
Space group Fm-3m (No. 225)
Symmetry-distinct sites (fractional):
Mg 0.0000 0.0000 0.0000 [4 per cell]
Cu 0.2500 0.2500 0.2500 [8 per cell]
Cl 0.0000 0.0000 0.5000 [4 per cell]

---

5.
The following is a PBEsol calculation of a relaxed structure of AlSiPt, from Alexandria.

ΔE_f (raw)   -0.767 eV per atom

Cell: 5.7904 5.7904 5.7904 Å, 90.00 90.00 90.00°
Space group F-43m (No. 216)
Symmetry-distinct sites (fractional):
Al 0.0000 0.0000 0.0000 [4 per cell]
Si 0.0000 0.0000 0.5000 [4 per cell]
Pt 0.2500 0.2500 0.7500 [4 per cell]

---

6.
The following is a PBEsol calculation of a relaxed structure of BaTl3Cd, from Alexandria.

E_form   1 meV/atom

Cell: 5.5629 5.5629 5.5629 Å, 90.00 90.00 90.00°
Space group Pm-3m (No. 221)
Symmetry-distinct sites (fractional):
Ba 0.0000 0.0000 0.0000 [1 per cell]
Tl 0.0000 0.5000 0.5000 [3 per cell]
Cd 0.5000 0.5000 0.5000 [1 per cell]